Computed, not measured: crystalline ScCrIrO6 at its relaxed geometry at the GGA+U level of DFT.

Properties
Calculated volume ... 198.86 Å³/cell
Density ... 6.43 g/cm3
Energy ... -7.513 eV per atom

a = 5.1373 Å, b = 5.1373 Å, c = 8.7007 Å
α = 90.00°, β = 90.00°, γ = 120.00°
With the nearest neighbours (Å) after each atom.
Positions (direct):
Sc (0.3333, 0.6667, 0.2500)  6 O 2.09
Sc (0.6667, 0.3333, 0.7500)  6 O 2.09
Cr (0.0000, 0.0000, 0.0000)  6 O 2.03
Cr (0.0000, 0.0000, 0.5000)  6 O 2.03
Ir (0.3333, 0.6667, 0.7500)  6 O 1.97
Ir (0.6667, 0.3333, 0.2500)  6 O 1.97
O (0.0198, 0.3437, 0.6246)  1 Ir 1.97, 1 Cr 2.03, 1 Sc 2.09
O (0.0198, 0.6760, 0.8754)  1 Ir 1.97, 1 Cr 2.03, 1 Sc 2.09
O (0.3240, 0.3437, 0.8754)  1 Ir 1.97, 1 Cr 2.03, 1 Sc 2.09
O (0.3240, 0.9802, 0.6246)  1 Ir 1.97, 1 Cr 2.03, 1 Sc 2.09
O (0.3437, 0.0198, 0.1246)  1 Ir 1.97, 1 Cr 2.03, 1 Sc 2.09
O (0.3437, 0.3240, 0.3754)  1 Ir 1.97, 1 Cr 2.03, 1 Sc 2.09
O (0.6563, 0.6760, 0.6246)  1 Ir 1.97, 1 Cr 2.03, 1 Sc 2.09
O (0.6563, 0.9802, 0.8754)  1 Ir 1.97, 1 Cr 2.03, 1 Sc 2.09
O (0.6760, 0.0198, 0.3754)  1 Ir 1.97, 1 Cr 2.03, 1 Sc 2.09
O (0.6760, 0.6563, 0.1246)  1 Ir 1.97, 1 Cr 2.03, 1 Sc 2.09
O (0.9802, 0.3240, 0.1246)  1 Ir 1.97, 1 Cr 2.03, 1 Sc 2.09
O (0.9802, 0.6563, 0.3754)  1 Ir 1.97, 1 Cr 2.03, 1 Sc 2.09